1.
# Cs2TcBrCl5

A relaxed Cs2TcBrCl5 crystal (GGA-PBE, the Alexandria database).

```
Cs2TcBrCl5
1.0
-3.8062 3.8062 5.2659
3.8062 -3.8062 5.2659
3.8062 3.8062 -5.2659
Cs Tc Br Cl
2 1 1 5
Direct
0.0000 0.5000 0.5000 Cs
0.5000 0.0000 0.5000 Cs
0.2503 0.2503 0.0000 Tc
0.0089 0.0089 0.0000 Br
0.0286 0.0286 0.5573 Cl
0.0286 0.4712 0.0000 Cl
0.4712 0.0286 0.0000 Cl
0.4712 0.4712 0.4427 Cl
0.4765 0.4765 0.0000 Cl
```

Output
Crystal system: tetragonal
Formation energy without anion corrections: -1.345 eV/atom



2.
# BaSr2WC

A relaxed BaSr2WC crystal (GGA-PBE, the Alexandria database).

```
BaSr2WC
1.0
5.7958 0.0000 0.0000
0.0000 5.7958 0.0000
0.0000 0.0000 4.2424
Ba Sr W C
1 2 1 1
Direct
0.0000 0.0000 0.0000 Ba
0.0000 0.5000 0.5000 Sr
0.5000 0.0000 0.5000 Sr
0.5000 0.5000 0.0000 W
0.5000 0.5000 0.5000 C
```

Output
Crystal system: tetragonal
Calculated total energy: -23.89 eV/cell



3.
# Ba4Nb3AgO12

A relaxed Ba4Nb3AgO12 crystal (GGA-PBE, the Alexandria database).

```
Ba4Nb3AgO12
1.0
-4.2373 4.2373 4.2373
4.2373 -4.2373 4.2373
4.2373 4.2373 -4.2373
Ba Nb Ag O
4 3 1 12
Direct
0.0000 0.0000 0.5000 Ba
0.0000 0.5000 0.0000 Ba
0.5000 0.0000 0.0000 Ba
0.5000 0.5000 0.5000 Ba
0.0000 0.5000 0.5000 Nb
0.5000 0.0000 0.5000 Nb
0.5000 0.5000 0.0000 Nb
0.0000 0.0000 0.0000 Ag
0.0000 0.2746 0.2746 O
0.0000 0.7254 0.7254 O
0.2500 0.5000 0.7500 O
0.2500 0.7500 0.5000 O
0.2746 0.0000 0.2746 O
0.2746 0.2746 0.0000 O
0.5000 0.2500 0.7500 O
0.5000 0.7500 0.2500 O
0.7254 0.0000 0.7254 O
0.7254 0.7254 0.0000 O
0.7500 0.2500 0.5000 O
0.7500 0.5000 0.2500 O
```

Output
Crystal system: cubic
Formation energy without anion corrections: -2.550 eV/atom



4.
# ZnFe2Ag

A relaxed ZnFe2Ag crystal (GGA-PBE, the Alexandria database).

```
ZnFe2Ag
1.0
-1.9329 1.9329 3.6950
1.9329 -1.9329 3.6950
1.9329 1.9329 -3.6950
Zn Fe Ag
1 2 1
Direct
0.0000 0.0000 0.0000 Zn
0.5000 0.5000 0.0000 Fe
0.7500 0.2500 0.5000 Fe
0.2500 0.7500 0.5000 Ag
```

Output
Crystal system: tetragonal
Calculated total energy: -20.09 eV/cell